(1)
The following is a GGA-PBE calculation of crystalline Ac at its relaxed geometry, from the Alexandria database.

POSCAR file:
```
Ac
1.0
2.002 1.156 9.737
-2.002 1.156 9.737
0.000 -2.312 9.737
Ac
3
Direct
0.000 0.000 0.000
0.223 0.223 0.223
0.777 0.777 0.777
```

Properties
crystal system	trigonal
ΔE to the lowest computed polymorph	0.000	eV per atom
formation energy from the elements	0.00	eV per atom

***

(2)
The following is a GGA-PBE calculation of crystalline La2MgRhN at its relaxed geometry, from the Alexandria database.

POSCAR file:
```
La2MgRhN
1.0
5.077 0.000 0.000
0.000 5.077 0.000
0.000 0.000 4.144
La Mg Rh N
2 1 1 1
Direct
0.000 0.500 0.000
0.500 0.000 0.000
0.000 0.000 0.500
0.500 0.500 0.500
0.000 0.000 0.000
```

Properties
total energy	-0.451	Ry/atom
crystal system	tetragonal

***

(3)
The following is a GGA-PBE calculation of crystalline Cd2PtW at its relaxed geometry, from the Alexandria database.

POSCAR file:
```
Cd2PtW
1.0
2.854 -4.540 0.000
2.854 4.540 0.000
0.000 0.000 2.766
Cd Pt W
2 1 1
Direct
0.000 0.500 0.000
0.500 0.000 0.000
0.000 0.000 0.500
0.500 0.500 0.500
```

Properties
crystal system	orthorhombic
ΔE to the lowest computed polymorph	0.312	eV per atom
formation energy from the elements	0.36	eV per atom